First-principles (PBE) data for a relaxed LiPm4Os crystal, as listed in Alexandria via LeMat-Bulk.

Lattice parameters (Å, degrees): 4.935 4.935 7.640 89.99 89.99 90.00
Atoms (fractional coordinates):
1 Pm 0.501 0.998 0.717
2 Pm 0.001 0.498 0.717
3 Pm 0.501 0.997 0.280
4 Pm 0.001 0.497 0.280
5 Os 0.001 0.997 0.498
6 Li 0.501 0.497 0.998

For the total energy, the calculation gives -31.2 eV for the cell shown. The calculation puts the spin magnetization at 0.0000 μB/atom.

***

First-principles (PBE) data for a relaxed LaGdZnGa crystal, as listed in Alexandria via LeMat-Bulk.

Lattice parameters (Å, degrees): 5.222 5.222 5.222 60.00 60.00 60.00
Site moments in Bohr magnetons follow the coordinates.
Atoms (fractional coordinates):
1 Zn 0.750 0.750 0.750  0.03
2 Ga 0.250 0.250 0.250  -0.01
3 La 0.500 0.500 0.500  0.14
4 Gd 0.000 0.000 0.000  7.21

For the total energy, the calculation gives -25.2 eV for the cell shown. The calculation puts the spin magnetization at 1.9634 μB/atom.

***

First-principles (PBE) data for a relaxed UTi2Tl3S6 crystal, as listed in Alexandria via LeMat-Bulk.

Lattice parameters (Å, degrees): 6.269 6.269 10.318 107.64 107.64 120.01
Site moments in Bohr magnetons follow the coordinates.
Atoms (fractional coordinates):
1 S 0.528 0.176 0.177  -0.04
2 S 0.472 0.824 0.823  -0.04
3 S 0.176 0.176 0.824  -0.04
4 S 0.824 0.824 0.176  -0.04
5 S 0.824 0.472 0.823  -0.04
6 S 0.176 0.528 0.177  -0.04
7 Tl 0.834 0.166 0.500  0.00
8 Tl 0.500 0.500 0.500  0.00
9 Tl 0.166 0.834 0.500  0.00
10 Ti 0.667 0.333 0.000  0.59
11 Ti 0.333 0.667 0.000  0.59
12 U 0.000 0.000 0.000  1.76

For the total energy, the calculation gives -71.3 eV for the cell shown. For the formation energy without anion corrections, the calculation gives -12.343 eV/f.u. The calculation puts the spin magnetization at 0.2564 μB/atom.

***

First-principles (PBE) data for a relaxed Sm8TlPd2 crystal, as listed in Alexandria via LeMat-Bulk.

Lattice parameters (Å, degrees): 5.620 8.233 8.233 115.27 98.55 98.55
Atoms (fractional coordinates):
1 Pd 0.000 0.699 0.301
2 Pd 0.000 0.301 0.699
3 Sm 0.925 0.671 0.917
4 Sm 0.691 0.395 0.395
5 Sm 0.500 0.242 0.758
6 Sm 0.925 0.917 0.671
7 Sm 0.309 0.605 0.605
8 Sm 0.075 0.083 0.329
9 Sm 0.075 0.329 0.083
10 Sm 0.500 0.758 0.242
11 Tl 0.500 0.000 0.000

For the total energy, the calculation gives -53.5 eV for the cell shown. As for the excess energy over the best structure of this formula in the dataset: 73 meV/atom. The calculation puts the spin magnetization at 0.0000 μB/atom.

***

First-principles (PBE) data for a relaxed Al4SbRh crystal, as listed in Alexandria via LeMat-Bulk.

Lattice parameters (Å, degrees): 5.301 5.301 5.301 60.00 60.00 60.00
Atoms (fractional coordinates):
1 Rh 0.250 0.250 0.250
2 Al 0.625 0.625 0.126
3 Al 0.625 0.126 0.625
4 Al 0.625 0.625 0.625
5 Al 0.126 0.625 0.625
6 Sb 0.000 0.000 0.000

For the total energy, the calculation gives -25.6 eV for the cell shown. For the formation energy without anion corrections, the calculation gives 0.843 eV/f.u. The calculation puts the spin magnetization at 0.0001 μB/atom.

***

First-principles (PBE) data for a relaxed KVSe2 crystal, as listed in Alexandria via LeMat-Bulk.

Lattice parameters (Å, degrees): 19.372 4.029 9.390 90.00 139.89 90.00
Site moments in Bohr magnetons follow the coordinates.
Atoms (fractional coordinates):
1 Se 0.886 0.250 0.923  -0.03
2 Se 0.614 0.750 0.577  -0.03
3 Se 0.114 0.750 0.077  -0.03
4 Se 0.091 0.751 0.461  -0.05
5 Se 0.409 0.251 0.039  -0.05
6 Se 0.591 0.749 0.961  -0.05
7 Se 0.386 0.250 0.423  -0.03
8 Se 0.909 0.249 0.539  -0.05
9 V 0.501 0.250 0.393  0.82
10 V 0.001 0.250 0.893  0.82
11 V 0.499 0.750 0.607  0.82
12 V 0.999 0.750 0.107  0.82
13 K 0.175 0.251 0.847  0.00
14 K 0.325 0.751 0.653  0.00
15 K 0.675 0.249 0.347  0.00
16 K 0.825 0.749 0.153  0.00

For the total energy, the calculation gives -81.8 eV for the cell shown. For the formation energy without anion corrections, the calculation gives -3.269 eV/f.u. The calculation puts the spin magnetization at 0.2128 μB/atom.